{"formula": "ZnAgRh2", "functional": "PBE-GGA", "state": "relaxed", "spacegroup": "I-42d, No. 122", "vol_a3_per_cell": 132.2, "total_energy_ev_per_atom": -4.330, "n_ef_per_ev_cell": 10.55, "lattice_angstrom": [[-3.592, 3.592, 2.563], [3.592, -3.592, 2.563], [3.592, 3.592, -2.563]], "species": ["Zn", "Zn", "Ag", "Ag", "Rh", "Rh", "Rh", "Rh"], "fractional_positions": [[0.000, 0.000, 0.000], [0.750, 0.250, 0.500], [0.250, 0.750, 0.500], [0.500, 0.500, 0.000], [0.089, 0.125, 0.464], [0.375, 0.911, 0.036], [0.661, 0.625, 0.536], [0.875, 0.339, 0.964]]}

---

{"formula": "ZnAgRh2", "functional": "PBE-GGA", "state": "relaxed", "spacegroup": "R-3m, No. 166", "vol_a3_per_cell": 60.0, "total_energy_ev_per_atom": -4.726, "n_ef_per_ev_cell": 5.18, "lattice_angstrom": [[1.396, 0.806, 8.897], [-1.396, 0.806, 8.897], [0.000, -1.611, 8.897]], "species": ["Zn", "Ag", "Rh", "Rh"], "fractional_positions": [[0.000, 0.000, 0.000], [0.500, 0.500, 0.500], [0.256, 0.256, 0.256], [0.744, 0.744, 0.744]]}

---

{"formula": "Zn2AgRh", "functional": "PBE-GGA", "state": "relaxed", "spacegroup": "R-3m, No. 166", "vol_a3_per_cell": 61.0, "total_energy_ev_per_atom": -3.342, "n_ef_per_ev_cell": 3.15, "lattice_angstrom": [[1.431, 0.826, 8.600], [-1.431, 0.826, 8.600], [0.000, -1.653, 8.600]], "species": ["Zn", "Zn", "Ag", "Rh"], "fractional_positions": [[0.245, 0.245, 0.245], [0.755, 0.755, 0.755], [0.000, 0.000, 0.000], [0.500, 0.500, 0.500]]}

---

{"formula": "ZnAgRh2", "functional": "PBE-GGA", "state": "relaxed", "spacegroup": "Cmm2, No. 35", "vol_a3_per_cell": 60.9, "total_energy_ev_per_atom": -4.605, "n_ef_per_ev_cell": 5.40, "lattice_angstrom": [[1.402, -2.361, 0.000], [1.402, 2.361, 0.000], [0.000, 0.000, 9.196]], "species": ["Zn", "Ag", "Rh", "Rh"], "fractional_positions": [[0.000, 0.000, 0.000], [0.500, 0.500, 0.255], [0.000, 0.000, 0.521], [0.500, 0.500, 0.766]]}

---

{"formula": "Zn2AgRh", "functional": "PBE-GGA", "state": "relaxed", "spacegroup": "Cm, No. 8", "vol_a3_per_cell": 59.8, "total_energy_ev_per_atom": -3.372, "n_ef_per_ev_cell": 1.57, "lattice_angstrom": [[4.748, -1.490, 0.000], [4.748, 1.490, 0.000], [-1.427, 0.000, 4.228]], "species": ["Zn", "Zn", "Ag", "Rh"], "fractional_positions": [[0.000, 0.000, 0.000], [0.744, 0.744, 0.348], [0.494, 0.494, 0.503], [0.260, 0.260, 0.865]]}

---

{"formula": "ZnAgRh2", "functional": "PBE-GGA", "state": "relaxed", "spacegroup": "Cm, No. 8", "vol_a3_per_cell": 60.1, "total_energy_ev_per_atom": -4.712, "n_ef_per_ev_cell": 3.85, "lattice_angstrom": [[4.531, -1.406, 0.000], [4.531, 1.406, 0.000], [-0.940, 0.000, 4.716]], "species": ["Zn", "Ag", "Rh", "Rh"], "fractional_positions": [[0.000, 0.000, 0.000], [0.246, 0.246, 0.776], [0.487, 0.487, 0.476], [0.742, 0.742, 0.277]]}

---

{"formula": "Zn6Ag2Rh", "functional": "PBE-GGA", "state": "relaxed", "spacegroup": "C2/m, No. 12", "vol_a3_per_cell": 145.1, "total_energy_ev_per_atom": -2.333, "n_ef_per_ev_cell": 3.28, "lattice_angstrom": [[4.826, -3.712, 0.000], [4.826, 3.712, 0.000], [-2.067, 0.000, 4.049]], "species": ["Zn", "Zn", "Zn", "Zn", "Zn", "Zn", "Ag", "Ag", "Rh"], "fractional_positions": [[0.151, 0.535, 0.346], [0.176, 0.824, 0.000], [0.465, 0.849, 0.654], [0.535, 0.151, 0.346], [0.824, 0.176, 0.000], [0.849, 0.465, 0.654], [0.332, 0.332, 0.836], [0.668, 0.668, 0.164], [0.000, 0.000, 0.500]]}

---

{"formula": "ZnAgRh2", "functional": "PBE-GGA", "state": "relaxed", "spacegroup": "R3m, No. 160", "vol_a3_per_cell": 60.1, "total_energy_ev_per_atom": -4.685, "n_ef_per_ev_cell": 5.07, "lattice_angstrom": [[1.393, 0.804, 8.941], [-1.393, 0.804, 8.941], [0.000, -1.608, 8.941]], "species": ["Zn", "Ag", "Rh", "Rh"], "fractional_positions": [[0.000, 0.000, 0.000], [0.752, 0.752, 0.752], [0.255, 0.255, 0.255], [0.508, 0.508, 0.508]]}

---

{"formula": "Zn10Ag6Rh", "functional": "PBE-GGA", "state": "relaxed", "spacegroup": "P-31m, No. 162", "vol_a3_per_cell": 276.3, "total_energy_ev_per_atom": -2.199, "n_ef_per_ev_cell": 3.51, "lattice_angstrom": [[7.763, 0.000, 0.000], [-3.881, 6.723, 0.000], [0.000, 0.000, 5.294]], "species": ["Zn", "Zn", "Zn", "Zn", "Zn", "Zn", "Zn", "Zn", "Zn", "Zn", "Ag", "Ag", "Ag", "Ag", "Ag", "Ag", "Rh"], "fractional_positions": [[0.000, 0.260, 0.197], [0.000, 0.740, 0.803], [0.260, 0.000, 0.197], [0.260, 0.260, 0.803], [0.333, 0.667, 0.000], [0.333, 0.667, 0.500], [0.667, 0.333, 0.000], [0.667, 0.333, 0.500], [0.740, 0.000, 0.803], [0.740, 0.740, 0.197], [0.000, 0.381, 0.716], [0.000, 0.619, 0.284], [0.381, 0.000, 0.716], [0.381, 0.381, 0.284], [0.619, 0.000, 0.284], [0.619, 0.619, 0.716], [0.000, 0.000, 0.500]]}

---

{"formula": "Zn4AgRh3", "functional": "PBE-GGA", "state": "relaxed", "spacegroup": "P4/mmm, No. 123", "vol_a3_per_cell": 114.9, "total_energy_ev_per_atom": -4.081, "n_ef_per_ev_cell": 2.47, "lattice_angstrom": [[3.081, 0.000, 0.000], [0.000, 3.081, 0.000], [0.000, 0.000, 12.101]], "species": ["Zn", "Zn", "Zn", "Zn", "Ag", "Rh", "Rh", "Rh"], "fractional_positions": [[0.000, 0.000, 0.121], [0.000, 0.000, 0.358], [0.000, 0.000, 0.642], [0.000, 0.000, 0.879], [0.500, 0.500, 0.500], [0.500, 0.500, 0.000], [0.500, 0.500, 0.246], [0.500, 0.500, 0.754]]}

---

{"formula": "ZnAgRh2", "functional": "PBE-GGA", "state": "relaxed", "spacegroup": "P4/mmm, No. 123", "vol_a3_per_cell": 60.1, "total_energy_ev_per_atom": -4.633, "n_ef_per_ev_cell": 4.87, "lattice_angstrom": [[3.946, 0.000, 0.000], [0.000, 3.946, 0.000], [0.000, 0.000, 3.860]], "species": ["Zn", "Ag", "Rh", "Rh"], "fractional_positions": [[0.000, 0.000, 0.000], [0.500, 0.500, 0.000], [0.000, 0.500, 0.500], [0.500, 0.000, 0.500]]}

---

{"formula": "Zn4AgRh", "functional": "PBE-GGA", "state": "relaxed", "spacegroup": "C2/m, No. 12", "vol_a3_per_cell": 89.3, "n_ef_per_ev_cell": 1.55, "relative_energy_ev_per_fu": 0.00, "lattice_angstrom": [[4.800, -1.493, 0.000], [4.800, 1.493, 0.000], [-2.306, 0.000, 6.227]], "species": ["Zn", "Zn", "Zn", "Zn", "Ag", "Rh"], "fractional_positions": [[0.163, 0.163, 0.346], [0.169, 0.169, 0.819], [0.831, 0.831, 0.181], [0.837, 0.837, 0.654], [0.500, 0.500, 0.000], [0.500, 0.500, 0.500]]}

---

{"formula": "Zn3Ag2Rh", "functional": "PBE-GGA", "state": "relaxed", "spacegroup": "Cmmm, No. 65", "vol_a3_per_cell": 184.6, "total_energy_ev_per_atom": -2.981, "n_ef_per_ev_cell": 4.06, "lattice_angstrom": [[2.070, -6.228, 0.000], [2.070, 6.228, 0.000], [0.000, 0.000, 7.157]], "species": ["Zn", "Zn", "Zn", "Zn", "Zn", "Zn", "Ag", "Ag", "Ag", "Ag", "Rh", "Rh"], "fractional_positions": [[0.000, 0.000, 0.239], [0.000, 0.000, 0.761], [0.326, 0.674, 0.230], [0.326, 0.674, 0.770], [0.674, 0.326, 0.230], [0.674, 0.326, 0.770], [0.165, 0.835, 0.500], [0.500, 0.500, 0.000], [0.500, 0.500, 0.500], [0.835, 0.165, 0.500], [0.162, 0.838, 0.000], [0.838, 0.162, 0.000]]}

---

{"formula": "ZrAg2Rh", "functional": "PBE-GGA", "state": "relaxed", "spacegroup": "P4/mmm, No. 123", "vol_a3_per_cell": 71.4, "n_ef_per_ev_cell": 4.91, "relative_energy_ev_per_fu": 1.85, "lattice_angstrom": [[2.974, 0.000, 0.000], [0.000, 2.974, 0.000], [0.000, 0.000, 8.069]], "species": ["Zr", "Ag", "Ag", "Rh"], "fractional_positions": [[0.000, 0.000, 0.000], [0.500, 0.500, 0.269], [0.500, 0.500, 0.731], [0.000, 0.000, 0.500]]}

---

{"formula": "ZrAg2Rh", "functional": "PBE-GGA", "state": "relaxed", "spacegroup": "C2/m, No. 12", "vol_a3_per_cell": 72.6, "n_ef_per_ev_cell": 2.55, "relative_energy_ev_per_fu": 1.07, "lattice_angstrom": [[2.714, -5.112, 0.000], [2.714, 5.112, 0.000], [-1.605, 0.000, 2.618]], "species": ["Zr", "Ag", "Ag", "Rh"], "fractional_positions": [[0.000, 0.000, 0.000], [0.000, 0.500, 0.500], [0.500, 0.000, 0.500], [0.500, 0.500, 0.000]]}

---

{"formula": "ZrAg2Rh", "functional": "PBE-GGA", "state": "relaxed", "spacegroup": "P2/m, No. 10", "vol_a3_per_cell": 70.6, "n_ef_per_ev_cell": 1.38, "relative_energy_ev_per_fu": 0.84, "lattice_angstrom": [[2.972, 0.000, 0.000], [0.000, 4.396, 0.000], [-0.017, 0.000, 5.401]], "species": ["Zr", "Ag", "Ag", "Rh"], "fractional_positions": [[0.000, 0.000, 0.000], [0.499, 0.500, 0.743], [0.501, 0.500, 0.257], [0.000, 0.000, 0.500]]}

---

{"formula": "ZrAg2Rh", "functional": "PBE-GGA", "state": "relaxed", "spacegroup": "P4/mmm, No. 123", "vol_a3_per_cell": 72.5, "n_ef_per_ev_cell": 3.42, "relative_energy_ev_per_fu": 1.21, "lattice_angstrom": [[3.661, 0.000, 0.000], [0.000, 3.661, 0.000], [0.000, 0.000, 5.409]], "species": ["Zr", "Ag", "Ag", "Rh"], "fractional_positions": [[0.000, 0.000, 0.000], [0.500, 0.500, 0.256], [0.500, 0.500, 0.744], [0.000, 0.000, 0.500]]}

---

{"formula": "Zr5AgRh", "functional": "PBE-GGA", "state": "relaxed", "spacegroup": "C2/c, No. 15", "vol_a3_per_cell": 306.5, "total_energy_ev_per_atom": -7.537, "n_ef_per_ev_cell": 11.84, "lattice_angstrom": [[5.155, -2.961, 0.000], [5.155, 2.961, 0.000], [-4.194, 0.000, 10.038]], "species": ["Zr", "Zr", "Zr", "Zr", "Zr", "Zr", "Zr", "Zr", "Zr", "Zr", "Ag", "Ag", "Rh", "Rh"], "fractional_positions": [[0.104, 0.344, 0.707], [0.109, 0.891, 0.750], [0.164, 0.673, 0.993], [0.327, 0.836, 0.507], [0.344, 0.104, 0.207], [0.656, 0.896, 0.793], [0.673, 0.164, 0.493], [0.836, 0.327, 0.007], [0.891, 0.109, 0.250], [0.896, 0.656, 0.293], [0.415, 0.585, 0.250], [0.585, 0.415, 0.750], [0.000, 0.500, 0.500], [0.500, 0.000, 0.000]]}

---

{"formula": "ZrAg2Rh", "functional": "PBE-GGA", "state": "relaxed", "spacegroup": "I-42d, No. 122", "vol_a3_per_cell": 155.4, "n_ef_per_ev_cell": 6.56, "relative_energy_ev_per_fu": 2.25, "lattice_angstrom": [[-3.847, 3.847, 2.626], [3.847, -3.847, 2.626], [3.847, 3.847, -2.626]], "species": ["Zr", "Zr", "Ag", "Ag", "Ag", "Ag", "Rh", "Rh"], "fractional_positions": [[0.000, 0.000, 0.000], [0.750, 0.250, 0.500], [0.147, 0.125, 0.522], [0.375, 0.853, 0.978], [0.603, 0.625, 0.478], [0.875, 0.397, 0.022], [0.250, 0.750, 0.500], [0.500, 0.500, 0.000]]}

---

{"formula": "ZrAg2Rh", "functional": "PBE-GGA", "state": "relaxed", "spacegroup": "R-3m, No. 166", "vol_a3_per_cell": 71.4, "n_ef_per_ev_cell": 3.51, "relative_energy_ev_per_fu": 1.98, "lattice_angstrom": [[1.446, 0.835, 9.855], [-1.446, 0.835, 9.855], [0.000, -1.670, 9.855]], "species": ["Zr", "Ag", "Ag", "Rh"], "fractional_positions": [[0.000, 0.000, 0.000], [0.245, 0.245, 0.245], [0.755, 0.755, 0.755], [0.500, 0.500, 0.500]]}

---

{"formula": "ZrAg2Rh", "functional": "PBE-GGA", "state": "relaxed", "spacegroup": "I4/mmm, No. 139", "vol_a3_per_cell": 69.7, "n_ef_per_ev_cell": 1.25, "relative_energy_ev_per_fu": 0.00, "lattice_angstrom": [[-1.945, 1.945, 4.608], [1.945, -1.945, 4.608], [1.945, 1.945, -4.608]], "species": ["Zr", "Ag", "Ag", "Rh"], "fractional_positions": [[0.000, 0.000, 0.000], [0.250, 0.750, 0.500], [0.750, 0.250, 0.500], [0.500, 0.500, 0.000]]}

---

{"formula": "ZrAg2Rh", "functional": "PBE-GGA", "state": "relaxed", "spacegroup": "Fm-3m, No. 225", "vol_a3_per_cell": 71.4, "n_ef_per_ev_cell": 5.61, "relative_energy_ev_per_fu": 1.37, "lattice_angstrom": [[0.000, 3.293, 3.293], [3.293, 0.000, 3.293], [3.293, 3.293, 0.000]], "species": ["Zr", "Ag", "Ag", "Rh"], "fractional_positions": [[0.000, 0.000, 0.000], [0.250, 0.250, 0.250], [0.750, 0.750, 0.750], [0.500, 0.500, 0.500]]}

---

{"formula": "ZrAg2Rh", "functional": "PBE-GGA", "state": "relaxed", "spacegroup": "Cmmm, No. 65", "vol_a3_per_cell": 71.3, "n_ef_per_ev_cell": 1.98, "relative_energy_ev_per_fu": 1.15, "lattice_angstrom": [[2.701, -4.347, 0.000], [2.701, 4.347, 0.000], [0.000, 0.000, 3.035]], "species": ["Zr", "Ag", "Ag", "Rh"], "fractional_positions": [[0.000, 0.000, 0.000], [0.000, 0.500, 0.500], [0.500, 0.000, 0.500], [0.500, 0.500, 0.000]]}